[1]
# CeSm3Ho3Te8 (PBE, relaxed)
data_CeSm3Ho3Te8
_chemical_formula_sum 'Ce1 Sm3 Ho3 Te8'
_cell_length_a 8.760
_cell_length_b 8.760
_cell_length_c 8.760
_cell_angle_alpha 60.10
_cell_angle_beta 60.10
_cell_angle_gamma 60.10
_space_group_name_H-M_alt 'P 1'
_space_group_IT_number 1
loop_
_space_group_symop_operation_xyz
'x,y,z'
loop_
_atom_site_label
_atom_site_fract_x
_atom_site_fract_y
_atom_site_fract_z
Ce1 0.000 0.000 0.000
Sm1 0.000 0.000 0.500
Sm2 0.000 0.500 0.000
Sm3 0.500 0.000 0.000
Ho1 0.000 0.500 0.500
Ho2 0.500 0.000 0.500
Ho3 0.500 0.500 0.000
Te1 0.253 0.253 0.253
Te2 0.260 0.260 0.734
Te3 0.260 0.734 0.260
Te4 0.266 0.740 0.740
Te5 0.734 0.260 0.260
Te6 0.740 0.266 0.740
Te7 0.740 0.740 0.266
Te8 0.747 0.747 0.747
# E_form (uncorrected)	-1.371	eV/atom
# E	-0.195	Ha/atom
# magnetic moment	1.4	μB/f.u.
# calculated volume	476.3	Å³/cell

[2]
# CeSm2HoTe5 (PBE, relaxed)
data_CeSm2HoTe5
_chemical_formula_sum 'Ce1 Sm2 Ho1 Te5'
_cell_length_a 5.524
_cell_length_b 5.524
_cell_length_c 11.884
_cell_angle_alpha 90.00
_cell_angle_beta 90.00
_cell_angle_gamma 90.00
_space_group_name_H-M_alt 'P 1'
_space_group_IT_number 1
loop_
_space_group_symop_operation_xyz
'x,y,z'
loop_
_atom_site_label
_atom_site_fract_x
_atom_site_fract_y
_atom_site_fract_z
Ce1 0.000 0.000 0.000
Sm1 0.500 0.500 0.348
Sm2 0.500 0.500 0.652
Ho1 0.000 0.000 0.500
Te1 0.000 0.000 0.253
Te2 0.000 0.000 0.747
Te3 0.000 0.500 0.500
Te4 0.500 0.000 0.500
Te5 0.500 0.500 0.000
# E_form (uncorrected)	-0.782	eV/atom
# E	-0.174	Ha/atom
# magnetic moment	1.7	μB/f.u.
# calculated volume	362.6	Å³/cell

[3]
# CeSm3Ho2Te6 (PBE, relaxed)
data_CeSm3Ho2Te6
_chemical_formula_sum 'Ce1 Sm3 Ho2 Te6'
_cell_length_a 9.865
_cell_length_b 9.865
_cell_length_c 8.897
_cell_angle_alpha 102.77
_cell_angle_beta 102.77
_cell_angle_gamma 25.69
_space_group_name_H-M_alt 'P 1'
_space_group_IT_number 1
loop_
_space_group_symop_operation_xyz
'x,y,z'
loop_
_atom_site_label
_atom_site_fract_x
_atom_site_fract_y
_atom_site_fract_z
Ce1 0.000 0.000 0.000
Sm1 0.000 0.000 0.500
Sm2 0.338 0.338 0.167
Sm3 0.662 0.662 0.833
Ho1 0.335 0.335 0.670
Ho2 0.665 0.665 0.330
Te1 0.170 0.170 0.091
Te2 0.170 0.170 0.578
Te3 0.497 0.497 0.746
Te4 0.503 0.503 0.254
Te5 0.830 0.830 0.422
Te6 0.830 0.830 0.909
# E_form (uncorrected)	-1.339	eV/atom
# E	-0.197	Ha/atom
# magnetic moment	1.3	μB/f.u.
# calculated volume	365.6	Å³/cell

[4]
# CeSm4Ho3Te8 (PBE, relaxed)
data_CeSm4Ho3Te8
_chemical_formula_sum 'Ce1 Sm4 Ho3 Te8'
_cell_length_a 8.830
_cell_length_b 8.830
_cell_length_c 8.830
_cell_angle_alpha 59.83
_cell_angle_beta 59.83
_cell_angle_gamma 59.83
_space_group_name_H-M_alt 'P 1'
_space_group_IT_number 1
loop_
_space_group_symop_operation_xyz
'x,y,z'
loop_
_atom_site_label
_atom_site_fract_x
_atom_site_fract_y
_atom_site_fract_z
Ce1 0.000 0.000 0.000
Sm1 0.000 0.000 0.500
Sm2 0.000 0.500 0.000
Sm3 0.500 0.000 0.000
Sm4 0.500 0.500 0.500
Ho1 0.000 0.500 0.500
Ho2 0.500 0.000 0.500
Ho3 0.500 0.500 0.000
Te1 0.251 0.251 0.743
Te2 0.251 0.743 0.251
Te3 0.253 0.253 0.253
Te4 0.257 0.749 0.749
Te5 0.743 0.251 0.251
Te6 0.747 0.747 0.747
Te7 0.749 0.257 0.749
Te8 0.749 0.749 0.257
# E_form (uncorrected)	-1.329	eV/atom
# E	-0.195	Ha/atom
# magnetic moment	1.1	μB/f.u.
# calculated volume	485.1	Å³/cell

[5]
# Ce2Sm3HoTe6 (PBE, relaxed)
data_Ce2Sm3HoTe6
_chemical_formula_sum 'Ce2 Sm3 Ho1 Te6'
_cell_length_a 9.941
_cell_length_b 9.941
_cell_length_c 8.946
_cell_angle_alpha 103.36
_cell_angle_beta 103.36
_cell_angle_gamma 25.65
_space_group_name_H-M_alt 'P 1'
_space_group_IT_number 1
loop_
_space_group_symop_operation_xyz
'x,y,z'
loop_
_atom_site_label
_atom_site_fract_x
_atom_site_fract_y
_atom_site_fract_z
Ce1 0.168 0.168 0.336
Ce2 0.832 0.832 0.664
Sm1 0.169 0.169 0.834
Sm2 0.500 0.500 0.500
Sm3 0.831 0.831 0.166
Ho1 0.500 0.500 0.000
Te1 0.001 0.001 0.757
Te2 0.335 0.335 0.414
Te3 0.337 0.337 0.920
Te4 0.663 0.663 0.080
Te5 0.665 0.665 0.586
Te6 0.999 0.999 0.243
# E_form (uncorrected)	-1.361	eV/atom
# E	-0.201	Ha/atom
# magnetic moment	2.5	μB/f.u.
# calculated volume	371.8	Å³/cell

[6]
# CeSmHoTh (PBE, relaxed)
data_CeSmHoTh
_chemical_formula_sum 'Ce1 Sm1 Ho1 Th1'
_cell_length_a 5.661
_cell_length_b 5.661
_cell_length_c 5.661
_cell_angle_alpha 60.00
_cell_angle_beta 60.00
_cell_angle_gamma 60.00
_space_group_name_H-M_alt 'P 1'
_space_group_IT_number 1
loop_
_space_group_symop_operation_xyz
'x,y,z'
loop_
_atom_site_label
_atom_site_fract_x
_atom_site_fract_y
_atom_site_fract_z
Ce1 0.000 0.000 0.000
Sm1 0.250 0.250 0.250
Ho1 0.500 0.500 0.500
Th1 0.750 0.750 0.750
# formation energy	0.227	eV/atom
# E	-0.200	Ha/atom
# magnetic moment	2.1	μB/f.u.
# distance to the lowest polymorph of the same formula	0.76	eV per formula unit
# calculated volume	128.3	Å³/cell

[7]
# CeSmHoTh (PBE, relaxed)
data_CeSmHoTh
_chemical_formula_sum 'Ce1 Sm1 Ho1 Th1'
_cell_length_a 11.638
_cell_length_b 11.638
_cell_length_c 11.638
_cell_angle_alpha 17.57
_cell_angle_beta 17.57
_cell_angle_gamma 17.57
_space_group_name_H-M_alt 'P 1'
_space_group_IT_number 1
loop_
_space_group_symop_operation_xyz
'x,y,z'
loop_
_atom_site_label
_atom_site_fract_x
_atom_site_fract_y
_atom_site_fract_z
Ce1 0.000 0.000 0.000
Sm1 0.168 0.168 0.168
Ho1 0.416 0.416 0.416
Th1 0.586 0.586 0.586
# formation energy	0.035	eV/atom
# E	-0.207	Ha/atom
# magnetic moment	0.0	μB/f.u.
# distance to the lowest polymorph of the same formula	0.00	eV per formula unit
# calculated volume	125.4	Å³/cell

[8]
# Ce2Sm3Ho6Th (PBE, relaxed)
data_Ce2Sm3Ho6Th
_chemical_formula_sum 'Ce2 Sm3 Ho6 Th1'
_cell_length_a 6.149
_cell_length_b 6.149
_cell_length_c 11.683
_cell_angle_alpha 95.04
_cell_angle_beta 95.04
_cell_angle_gamma 120.00
_space_group_name_H-M_alt 'P 1'
_space_group_IT_number 1
loop_
_space_group_symop_operation_xyz
'x,y,z'
loop_
_atom_site_label
_atom_site_fract_x
_atom_site_fract_y
_atom_site_fract_z
Ce1 0.167 0.833 0.000
Ce2 0.833 0.167 0.000
Sm1 0.000 0.000 0.500
Sm2 0.333 0.667 0.500
Sm3 0.667 0.333 0.500
Ho1 0.086 0.418 0.755
Ho2 0.250 0.250 0.245
Ho3 0.418 0.086 0.755
Ho4 0.582 0.914 0.245
Ho5 0.750 0.750 0.755
Ho6 0.914 0.582 0.245
Th1 0.500 0.500 0.000
# formation energy	0.039	eV/atom
# E	-0.185	Ha/atom
# magnetic moment	1.3	μB/f.u.
# calculated volume	376.6	Å³/cell

[9]
# CeSmHo2Tl4 (PBE, relaxed)
data_CeSmHo2Tl4
_chemical_formula_sum 'Ce1 Sm1 Ho2 Tl4'
_cell_length_a 9.413
_cell_length_b 9.413
_cell_length_c 9.413
_cell_angle_alpha 33.44
_cell_angle_beta 33.44
_cell_angle_gamma 33.44
_space_group_name_H-M_alt 'P 1'
_space_group_IT_number 1
loop_
_space_group_symop_operation_xyz
'x,y,z'
loop_
_atom_site_label
_atom_site_fract_x
_atom_site_fract_y
_atom_site_fract_z
Ce1 0.000 0.000 0.000
Sm1 0.500 0.500 0.500
Ho1 0.250 0.250 0.250
Ho2 0.750 0.750 0.750
Tl1 0.125 0.125 0.125
Tl2 0.376 0.376 0.376
Tl3 0.624 0.624 0.624
Tl4 0.875 0.875 0.875
# formation energy	-0.311	eV/atom
# E	-0.146	Ha/atom
# magnetic moment	1.0	μB/f.u.
# calculated volume	225.6	Å³/cell

[10]
# CeSmHoTm3 (PBE, relaxed)
data_CeSmHoTm3
_chemical_formula_sum 'Ce2 Sm2 Ho2 Tm6'
_cell_length_a 6.354
_cell_length_b 6.354
_cell_length_c 11.533
_cell_angle_alpha 90.00
_cell_angle_beta 90.00
_cell_angle_gamma 126.13
_space_group_name_H-M_alt 'P 1'
_space_group_IT_number 1
loop_
_space_group_symop_operation_xyz
'x,y,z'
loop_
_atom_site_label
_atom_site_fract_x
_atom_site_fract_y
_atom_site_fract_z
Ce1 0.002 0.998 0.750
Ce2 0.998 0.002 0.250
Sm1 0.500 0.500 0.000
Sm2 0.500 0.500 0.500
Ho1 0.326 0.674 0.750
Ho2 0.674 0.326 0.250
Tm1 0.171 0.829 0.002
Tm2 0.171 0.829 0.498
Tm3 0.329 0.671 0.250
Tm4 0.671 0.329 0.750
Tm5 0.829 0.171 0.502
Tm6 0.829 0.171 0.998
# formation energy	0.147	eV/atom
# E	-0.170	Ha/atom
# magnetic moment	1.2	μB/f.u.
# calculated volume	376.0	Å³/cell

[11]
# CeSm6Ho3Tm2 (PBE, relaxed)
data_CeSm6Ho3Tm2
_chemical_formula_sum 'Ce1 Sm6 Ho3 Tm2'
_cell_length_a 6.196
_cell_length_b 6.196
_cell_length_c 11.809
_cell_angle_alpha 95.03
_cell_angle_beta 95.03
_cell_angle_gamma 120.00
_space_group_name_H-M_alt 'P 1'
_space_group_IT_number 1
loop_
_space_group_symop_operation_xyz
'x,y,z'
loop_
_atom_site_label
_atom_site_fract_x
_atom_site_fract_y
_atom_site_fract_z
Ce1 0.000 0.000 0.000
Sm1 0.083 0.415 0.250
Sm2 0.249 0.249 0.750
Sm3 0.415 0.083 0.250
Sm4 0.585 0.917 0.750
Sm5 0.751 0.751 0.250
Sm6 0.917 0.585 0.750
Ho1 0.167 0.833 0.500
Ho2 0.500 0.500 0.500
Ho3 0.833 0.167 0.500
Tm1 0.333 0.667 0.000
Tm2 0.667 0.333 0.000
# formation energy	0.038	eV/atom
# E	-0.173	Ha/atom
# magnetic moment	1.4	μB/f.u.
# calculated volume	386.5	Å³/cell

[12]
# CeSm2Ho4Tm (PBE, relaxed)
data_CeSm2Ho4Tm
_chemical_formula_sum 'Ce2 Sm4 Ho8 Tm2'
_cell_length_a 9.415
_cell_length_b 9.415
_cell_length_c 9.415
_cell_angle_alpha 138.18
_cell_angle_beta 103.31
_cell_angle_gamma 91.41
_space_group_name_H-M_alt 'P 1'
_space_group_IT_number 1
loop_
_space_group_symop_operation_xyz
'x,y,z'
loop_
_atom_site_label
_atom_site_fract_x
_atom_site_fract_y
_atom_site_fract_z
Ce1 0.000 0.000 0.000
Ce2 0.500 0.000 0.500
Sm1 0.000 0.500 0.500
Sm2 0.500 0.000 0.000
Sm3 0.500 0.500 0.000
Sm4 0.500 0.500 0.500
Ho1 0.239 0.242 0.997
Ho2 0.246 0.238 0.492
Ho3 0.246 0.754 0.008
Ho4 0.255 0.758 0.497
Ho5 0.745 0.242 0.503
Ho6 0.754 0.246 0.992
Ho7 0.754 0.762 0.508
Ho8 0.761 0.758 0.003
Tm1 0.000 0.000 0.500
Tm2 0.000 0.500 0.000
# formation energy	0.434	eV/atom
# E	-0.159	Ha/atom
# magnetic moment	2.3	μB/f.u.
# calculated volume	516.3	Å³/cell